First-principles (PBE+U) data for PmTcMoO6 after structural relaxation, as listed in Alexandria via LeMat-Bulk.

Lattice parameters (Å, degrees): 5.420 5.420 8.951 90.00 90.00 120.00
Site moments in Bohr magnetons follow the coordinates.
Sites, in units of the cell vectors:
O 0.348 0.293 0.376  -0.04
O 0.652 0.707 0.624  -0.04
O 0.652 0.945 0.876  -0.04
O 0.945 0.652 0.376  -0.04
O 0.945 0.293 0.124  -0.04
O 0.293 0.945 0.624  -0.04
O 0.055 0.707 0.876  -0.04
O 0.055 0.348 0.624  -0.04
O 0.707 0.652 0.124  -0.04
O 0.348 0.055 0.124  -0.04
O 0.707 0.055 0.376  -0.04
O 0.293 0.348 0.876  -0.04
Mo 0.000 0.000 0.000  1.64
Mo 0.000 0.000 0.500  1.64
Tc 0.333 0.667 0.750  -1.10
Tc 0.667 0.333 0.250  -1.10
Pm 0.333 0.667 0.250  0.00
Pm 0.667 0.333 0.750  0.00

## Properties
spin magnetization: 0.3 μB/cell
N(E_F): 4.0 states/eV/f.u.
SG: P-31c (163)
energy: -7.691 eV/atom